[1]
# NbGeSBr2 | Alexandria | PBE | relaxed
# - SG: P4/mmm (123)
# - Formation energy from raw total energies: 1.728 eV per formula unit
data_NbGeSBr2
_cell_length_a 4.923
_cell_length_b 5.517
_cell_length_c 4.923
_cell_angle_alpha 90.00
_cell_angle_beta 90.00
_cell_angle_gamma 90.00
_symmetry_space_group_name_H-M 'P 1'
_symmetry_Int_Tables_number 1
_symmetry_space_group_name_Hall 'P 1'
loop_
_atom_site_label
_atom_site_fract_x
_atom_site_fract_y
_atom_site_fract_z
Br1 0.500 0.000 0.000
Ge1 0.000 0.500 0.000
Br2 0.000 0.000 0.500
S1 0.500 0.500 0.500
Nb1 0.000 0.000 0.000


[2]
# UTeIr | Alexandria | PBE | relaxed
# - SG: Cmcm (63)
# - Formation energy from raw total energies: -1.548 eV per formula unit
data_UTeIr
_cell_length_a 3.952
_cell_length_b 3.724
_cell_length_c 10.278
_cell_angle_alpha 79.56
_cell_angle_beta 90.00
_cell_angle_gamma 90.00
_symmetry_space_group_name_H-M 'P 1'
_symmetry_Int_Tables_number 1
_symmetry_space_group_name_Hall 'P 1'
loop_
_atom_site_label
_atom_site_fract_x
_atom_site_fract_y
_atom_site_fract_z
Ir1 0.750 0.454 0.091
U1 0.250 0.911 0.177
Te1 0.750 0.321 0.358
U2 0.750 0.089 0.823
Te2 0.250 0.679 0.642
Ir2 0.250 0.546 0.909


[3]
# Tb7TlHg4 | Alexandria | PBE | relaxed
# - Energy relative to the elements: -0.213 eV per atom
# - SG: C2/m (12)
data_Tb7TlHg4
_cell_length_a 5.835
_cell_length_b 8.603
_cell_length_c 8.010
_cell_angle_alpha 70.39
_cell_angle_beta 68.64
_cell_angle_gamma 70.18
_symmetry_space_group_name_H-M 'P 1'
_symmetry_Int_Tables_number 1
_symmetry_space_group_name_Hall 'P 1'
loop_
_atom_site_label
_atom_site_fract_x
_atom_site_fract_y
_atom_site_fract_z
Tb1 0.774 0.905 0.547
Tb2 0.057 0.618 0.267
Tb3 0.734 0.307 0.226
Tb4 0.226 0.095 0.453
Tb5 0.500 0.000 0.000
Tl1 0.000 0.000 0.000
Hg1 0.302 0.351 0.044
Hg2 0.540 0.292 0.628
Tb6 0.943 0.382 0.733
Hg3 0.460 0.708 0.372
Tb7 0.266 0.693 0.774
Hg4 0.698 0.649 0.956


[4]
# Zr5Tc4Ru | Alexandria | PBE | relaxed
# - Energy relative to the elements: -0.419 eV per atom
# - SG: P4/mmm (123)
data_Zr5Tc4Ru
_cell_length_a 3.290
_cell_length_b 3.290
_cell_length_c 16.447
_cell_angle_alpha 90.00
_cell_angle_beta 90.00
_cell_angle_gamma 90.00
_symmetry_space_group_name_H-M 'P 1'
_symmetry_Int_Tables_number 1
_symmetry_space_group_name_Hall 'P 1'
loop_
_atom_site_label
_atom_site_fract_x
_atom_site_fract_y
_atom_site_fract_z
Tc1 0.000 0.000 0.400
Tc2 0.000 0.000 0.600
Tc3 0.000 0.000 0.199
Ru1 0.000 0.000 0.000
Zr1 0.500 0.500 0.299
Zr2 0.500 0.500 0.100
Tc4 0.000 0.000 0.801
Zr3 0.500 0.500 0.701
Zr4 0.500 0.500 0.500
Zr5 0.500 0.500 0.900


Please write out number 2 again, unchanged.
# UTeIr | Alexandria | PBE | relaxed
# - SG: Cmcm (63)
# - Formation energy from raw total energies: -1.548 eV per formula unit
data_UTeIr
_cell_length_a 3.952
_cell_length_b 3.724
_cell_length_c 10.278
_cell_angle_alpha 79.56
_cell_angle_beta 90.00
_cell_angle_gamma 90.00
_symmetry_space_group_name_H-M 'P 1'
_symmetry_Int_Tables_number 1
_symmetry_space_group_name_Hall 'P 1'
loop_
_atom_site_label
_atom_site_fract_x
_atom_site_fract_y
_atom_site_fract_z
Ir1 0.750 0.454 0.091
U1 0.250 0.911 0.177
Te1 0.750 0.321 0.358
U2 0.750 0.089 0.823
Te2 0.250 0.679 0.642
Ir2 0.250 0.546 0.909